Density functional theory data (GGA-PBE) for a geometry-optimized TbY2Hg2 structure. Values from VASP.

Properties
Calculated density, Mg/m³: 9.00
Calculated total energy, eV/atom: -4.032
Crystal system: orthorhombic
Magnetic moment, μB per formula unit: 0.00
E above lowest polymorph, eV/f.u.: 0.03

```
&SYSTEM
  ibrav = 0, nat = 10, ntyp = 3
/
ATOMIC_SPECIES
Tb 158.93 Tb.upf
Y 88.91 Y.upf
Hg 200.59 Hg.upf
CELL_PARAMETERS angstrom
-2.430 -1.583 -2.390
2.891 -4.456 0.012
-6.070 -3.907 11.724
ATOMIC_POSITIONS angstrom
Tb -4.206 -7.461 6.272
Tb -1.402 -2.485 3.074
Y 1.480 -3.786 1.005
Y -7.088 -6.160 8.340
Y -1.258 -5.552 4.963
Y -4.350 -4.394 4.383
Hg -1.140 -5.484 1.841
Hg -4.468 -4.462 7.505
Hg -4.419 -7.591 9.529
Hg -1.189 -2.355 -0.183
```